The following is a GGA-PBE calculation of a geometry-optimized PmBiRuO6 structure, from Alexandria.

Cell: 5.6655 5.6655 9.3427 Å, 90.00 90.00 120.00°
Closest atoms and distances in Å follow each position.
Space group P-31c (No. 163)
Symmetry-distinct sites (fractional):
Pm 0.3333 0.6667 0.2500 (multiplicity 2)  6 O 2.33
Bi 0.0000 0.0000 0.0000 (multiplicity 2)  6 O 2.37
Ru 0.3333 0.6667 0.7500 (multiplicity 2)  6 O 1.96
O 0.0495 0.3786 0.6322 (multiplicity 12)  1 Ru 1.96

Computed properties:
Crystal system: trigonal
ρ, g cm⁻³: 7.0
E, eV per atom: -6.87